No. 1
LiYErAu | GGA-PBE | optimized geometry Values from VASP.

Computed properties:
Total energy in eV per atom: -4.476
SG: F-43m, No. 216
DOS at the Fermi energy in states/eV/atom: 0.608
Volume in Å³/f.u.: 93
Formation energy in kJ/mol of formula units: -162

Structure (Quantum ESPRESSO input):
```
&SYSTEM
  ibrav = 0, nat = 4, ntyp = 4
/
ATOMIC_SPECIES
Er 167.26 Er.upf
Au 196.97 Au.upf
Li 6.94 Li.upf
Y 88.91 Y.upf
CELL_PARAMETERS angstrom
5.083 0.000 0.000
2.542 4.402 0.000
2.542 1.467 4.151
ATOMIC_POSITIONS angstrom
Er 2.542 1.467 1.038
Au 0.000 0.000 0.000
Li 5.083 2.935 2.075
Y 7.625 4.402 3.113
```

---

No. 2
Pm4Tm15Sc | GGA-PBE | optimized geometry Values from VASP.

Computed properties:
Total energy in eV per atom: -4.495
SG: P4/mmm, No. 123
DOS at the Fermi energy in states/eV/atom: 1.907
Volume in Å³/f.u.: 617
Formation energy in kJ/mol of formula units: 242

Structure (Quantum ESPRESSO input):
```
&SYSTEM
  ibrav = 0, nat = 20, ntyp = 3
/
ATOMIC_SPECIES
Tm 168.93 Tm.upf
Sc 44.96 Sc.upf
Pm 145.00 Pm.upf
CELL_PARAMETERS angstrom
5.763 0.000 0.000
0.000 5.763 0.000
0.000 0.000 18.588
ATOMIC_POSITIONS angstrom
Tm 2.882 2.882 7.415
Tm 2.882 2.882 11.172
Tm 2.882 2.882 0.000
Tm 0.000 2.882 13.050
Tm 2.882 0.000 1.755
Tm 2.882 0.000 16.832
Tm 0.000 2.882 1.755
Tm 2.882 2.882 3.695
Tm 2.882 0.000 5.538
Tm 0.000 2.882 16.832
Tm 2.882 0.000 9.294
Tm 2.882 2.882 14.893
Tm 0.000 2.882 9.294
Tm 2.882 0.000 13.050
Tm 0.000 2.882 5.538
Sc 0.000 0.000 0.000
Pm 0.000 0.000 7.387
Pm 0.000 0.000 3.656
Pm 0.000 0.000 11.201
Pm 0.000 0.000 14.932
```

---

No. 3
Ac4Cu2Ag5 | GGA-PBE | optimized geometry Values from VASP.

Computed properties:
Total energy in eV per atom: -3.758
SG: P2/m, No. 10
DOS at the Fermi energy in states/eV/atom: 0.518
Volume in Å³/f.u.: 303
Formation energy in kJ/mol of formula units: -237

Structure (Quantum ESPRESSO input):
```
&SYSTEM
  ibrav = 0, nat = 11, ntyp = 3
/
ATOMIC_SPECIES
Ac 227.00 Ac.upf
Ag 107.87 Ag.upf
Cu 63.55 Cu.upf
CELL_PARAMETERS angstrom
-2.258 1.630 -3.264
3.663 -4.767 -4.915
-6.320 -6.441 1.157
ATOMIC_POSITIONS angstrom
Ac -2.280 -6.749 -4.612
Ac 0.825 -3.803 -5.290
Ac -2.635 -2.829 -2.410
Ac -5.740 -5.775 -1.733
Ag 1.832 -2.384 -2.457
Ag -0.127 -5.099 -2.458
Ag -2.529 -6.109 -1.300
Ag -0.333 -1.377 -0.457
Ag -2.324 -9.831 -3.301
Cu -3.684 -4.324 0.390
Cu 1.028 -6.884 -4.148
```

---

No. 4
K2CuW | GGA-PBE | optimized geometry Values from VASP.

Computed properties:
Total energy in eV per atom: -3.349
SG: Cmmm, No. 65
DOS at the Fermi energy in states/eV/atom: 0.973
Volume in Å³/f.u.: 93
Formation energy in kJ/mol of formula units: 564
Excess energy over the best structure of this formula in the dataset in eV/atom: 0.503

Structure (Quantum ESPRESSO input):
```
&SYSTEM
  ibrav = 0, nat = 4, ntyp = 3
/
ATOMIC_SPECIES
W 183.84 W.upf
K 39.10 K.upf
Cu 63.55 Cu.upf
CELL_PARAMETERS angstrom
-3.213 -3.337 4.538
-0.260 -1.119 -6.383
2.089 -1.717 0.216
ATOMIC_POSITIONS angstrom
W -0.562 -2.527 2.377
K 0.000 0.000 0.000
K -1.737 -2.228 -0.922
Cu 0.914 -1.418 -3.083
```